# 1
An optimized crystal structure of Dy9Tm4Pu. Source: Alexandria, functional PBE.

abc: 9.6286 9.6286 10.9920
angles: 90.00 90.00 120.00
Space group P6_3/mmc (No. 194)
Symmetry-distinct sites (fractional):
Dy: 0.0738 0.5369 0.2500
Dy: 0.2092 0.4184 0.5330
Tm: 0.0000 0.0000 0.0000
Tm: 0.1116 0.2233 0.2500
Pu: 0.3333 0.6667 0.7500

**Fermi-level density of states**: 23.8 states/eV/f.u.
**ΔE_f**: 0.178 eV per atom
**M_tot**: 10.36 Bohr magnetons per cell


# 2
An optimized crystal structure of PuZr2N4. Source: Alexandria, functional PBE.

abc: 6.612 6.612 9.330
angles: 90.00 90.00 90.00
Space group I4_1/amd (No. 141, origin choice 2)
Symmetry-distinct sites (fractional):
Pu: 0.000 0.250 0.375
Zr: 0.000 0.000 0.000
N: 0.000 0.023 0.761

**Electronic total energy**: -0.772 Ry per atom
**Fermi-level density of states**: 8.7 states/eV/f.u.
**M_tot**: 15.99 Bohr magnetons per cell


# 3
An optimized crystal structure of AlFeIr. Source: Alexandria, functional PBE.

abc: 2.886 2.886 9.540
angles: 90.00 90.00 90.00
Space group I4mm (No. 107)
Symmetry-distinct sites (fractional):
Al: 0.000 0.000 0.000
Fe: 0.000 0.000 0.338
Ir: 0.000 0.000 0.666

**Fermi-level density of states**: 1.7 states/eV/f.u.
**ΔE_f**: -0.421 eV per atom
**M_tot**: 5.13 Bohr magnetons per cell


# 4
An optimized crystal structure of DyNiSnPd. Source: Alexandria, functional PBE.

abc: 6.662 6.662 6.662
angles: 90.00 90.00 90.00
Space group F-43m (No. 216)
Symmetry-distinct sites (fractional):
Dy: 0.000 0.000 0.000
Ni: 0.250 0.250 0.750
Sn: 0.000 0.000 0.500
Pd: 0.250 0.250 0.250

**Fermi-level density of states**: 3.4 states/eV/f.u.
**ΔE_f**: -0.647 eV per atom
**M_tot**: 0.00 Bohr magnetons per cell


# 5
An optimized crystal structure of Mn2CdFeH. Source: Alexandria, functional PBE.

abc: 2.7117 2.7117 26.3567
angles: 90.00 90.00 120.00
Space group R3m (No. 160, hexagonal axes)
Symmetry-distinct sites (fractional):
Mn: 0.0000 0.0000 0.0000
Mn: 0.0000 0.0000 0.2548
Cd: 0.0000 0.0000 0.8304
Fe: 0.0000 0.0000 0.4056
H: 0.0000 0.0000 0.6231

**Electronic total energy**: -0.439 Ry per atom
**Fermi-level density of states**: 4.7 states/eV/f.u.
**M_tot**: 6.21 Bohr magnetons per cell


# 6
An optimized crystal structure of CsRh2F7. Source: Alexandria, functional PBE.

abc: 6.459 12.384 4.066
angles: 90.00 90.00 90.00
Space group Cmmm (No. 65)
Symmetry-distinct sites (fractional):
Cs: 0.000 0.000 0.000
Rh: 0.000 0.332 0.500
F: 0.000 0.315 0.000
F: 0.000 0.500 0.500
F: 0.197 0.155 0.500

**Electronic total energy**: -0.332 Ry per atom
**Fermi-level density of states**: 6.2 states/eV/f.u.
**M_tot**: 4.74 Bohr magnetons per cell


# 7
An optimized crystal structure of CuPdRu2. Source: Alexandria, functional PBE.

abc: 6.983 6.983 4.982
angles: 90.00 90.00 90.00
Space group I-42d (No. 122)
Symmetry-distinct sites (fractional):
Cu: 0.000 0.000 0.000
Pd: 0.000 0.000 0.500
Ru: 0.233 0.250 0.125

**Fermi-level density of states**: 5.5 states/eV/f.u.
**ΔE_f**: 0.813 eV per atom
**M_tot**: 0.00 Bohr magnetons per cell


# 8
An optimized crystal structure of Na3RhAu. Source: Alexandria, functional PBE.

abc: 5.373 5.373 5.373
angles: 90.00 90.00 90.00
Space group Pm-3m (No. 221)
Symmetry-distinct sites (fractional):
Na: 0.000 0.000 0.500
Rh: 0.000 0.000 0.000
Au: 0.500 0.500 0.500

**Fermi-level density of states**: 15.0 states/eV/f.u.
**ΔE_f**: 0.586 eV per atom
**M_tot**: 0.95 Bohr magnetons per cell


# 9
An optimized crystal structure of Pa2Be4CuIr3. Source: Alexandria, functional PBE.

abc: 3.849 3.849 9.922
angles: 90.00 90.00 90.00
Space group P-4m2 (No. 115)
Symmetry-distinct sites (fractional):
Pa: 0.000 0.500 0.249
Be: 0.000 0.000 0.500
Be: 0.000 0.500 0.878
Be: 0.500 0.500 0.500
Cu: 0.500 0.500 0.000
Ir: 0.000 0.000 0.000
Ir: 0.000 0.500 0.640

**Fermi-level density of states**: 10.2 states/eV/f.u.
**ΔE_f**: -0.496 eV per atom
**M_tot**: 0.36 Bohr magnetons per cell


# 10
An optimized crystal structure of URe2. Source: Alexandria, functional PBE.

abc: 5.834 8.993 8.302
angles: 90.00 90.00 90.00
Space group Cmcm (No. 63)
Symmetry-distinct sites (fractional):
U: 0.000 0.161 0.086
Re: 0.000 0.325 0.750
Re: 0.000 0.500 0.000
Re: 0.246 0.088 0.750

**Fermi-level density of states**: 4.3 states/eV/f.u.
**ΔE_f**: -0.016 eV per atom
**M_tot**: 0.65 Bohr magnetons per cell


# 11
An optimized crystal structure of Sm3TlHg3. Source: Alexandria, functional PBE.

abc: 10.153 10.371 7.620
angles: 90.00 90.64 90.00
Space group C2/m (No. 12)
Symmetry-distinct sites (fractional):
Sm: 0.066 0.000 0.254
Sm: 0.249 0.199 0.747
Tl: 0.157 0.500 0.949
Hg: 0.000 0.235 0.000
Hg: 0.000 0.244 0.500
Hg: 0.158 0.500 0.548

**Fermi-level density of states**: 5.5 states/eV/f.u.
**ΔE_f**: -0.319 eV per atom
**M_tot**: 0.00 Bohr magnetons per cell


# 12
An optimized crystal structure of Y3Sb2. Source: Alexandria, functional PBE.

abc: 8.467 11.553 6.267
angles: 90.00 90.00 90.00
Space group Ibam (No. 72)
Symmetry-distinct sites (fractional):
Y: 0.000 0.000 0.250
Y: 0.143 0.347 0.000
Sb: 0.213 0.391 0.500

**Electronic total energy**: -0.468 Ry per atom
**Fermi-level density of states**: 3.6 states/eV/f.u.
**M_tot**: 0.00 Bohr magnetons per cell